# 1
A geometry-optimized Pu2Al2InRh5 structure. Source: Alexandria via LeMat-Bulk, functional PBE.

It has space group P4/mbm (No. 127), with a = 9.907 Å, b = 9.907 Å, c = 3.569 Å, α = 90.00°, β = 90.00° and γ = 90.00°. Symmetry generates all atoms from Pu at (0.177, 0.323, 0.000), Al at (0.121, 0.621, 0.000), In at (0.000, 0.000, 0.000), Rh at (0.000, 0.500, 0.500) and Rh at (0.070, 0.790, 0.500).

The calculation puts the formation energy at -0.596 eV per atom. The density of states at the Fermi level comes out at 57.509 states/eV/cell. The magnetization comes out at 9.481 μB/f.u. The calculation puts the mass density at 11.106 g/cm3.

# 2
A geometry-optimized SmPuAlIn structure. Source: Alexandria via LeMat-Bulk, functional PBE.

It has space group F-43m (No. 216), with a = 7.472 Å, b = 7.472 Å, c = 7.472 Å, α = 90.00°, β = 90.00° and γ = 90.00°. Symmetry generates all atoms from Sm at (0.000, 0.000, 0.000), Pu at (0.000, 0.000, 0.500), Al at (0.250, 0.250, 0.250) and In at (0.250, 0.250, 0.750).

The calculation puts the formation energy at -0.210 eV per atom. The density of states at the Fermi level comes out at 33.110 states/eV/cell. The magnetization comes out at 5.691 μB/f.u. The calculation puts the mass density at 8.535 g/cm3.

# 3
A geometry-optimized PuAlInSn structure. Source: Alexandria via LeMat-Bulk, functional PBE.

It has space group Pmmm (No. 47), with a = 4.453 Å, b = 4.542 Å, c = 4.599 Å, α = 90.00°, β = 90.00° and γ = 90.00°. Symmetry generates all atoms from Pu at (0.000, 0.000, 0.000), Al at (0.500, 0.000, 0.500), In at (0.000, 0.500, 0.500) and Sn at (0.500, 0.500, 0.000).

The calculation puts the formation energy at -0.268 eV per atom. The density of states at the Fermi level comes out at 9.888 states/eV/cell. The magnetization comes out at 5.587 μB/f.u. The calculation puts the mass density at 9.006 g/cm3.

# 4
A geometry-optimized YPuAlIn structure. Source: Alexandria via LeMat-Bulk, functional PBE.

It has space group F-43m (No. 216), with a = 7.401 Å, b = 7.401 Å, c = 7.401 Å, α = 90.00°, β = 90.00° and γ = 90.00°. Symmetry generates all atoms from Y at (0.000, 0.000, 0.000), Pu at (0.000, 0.000, 0.500), Al at (0.250, 0.250, 0.250) and In at (0.250, 0.250, 0.750).

The calculation puts the formation energy at -0.238 eV per atom. The density of states at the Fermi level comes out at 31.334 states/eV/cell. The magnetization comes out at 5.713 μB/f.u. The calculation puts the mass density at 7.778 g/cm3.

# 5
A geometry-optimized PuAlZnIn structure. Source: Alexandria via LeMat-Bulk, functional PBE.

It has space group F-43m (No. 216), with a = 6.960 Å, b = 6.960 Å, c = 6.960 Å, α = 90.00°, β = 90.00° and γ = 90.00°. Symmetry generates all atoms from Pu at (0.000, 0.000, 0.000), Al at (0.250, 0.250, 0.250), Zn at (0.250, 0.250, 0.750) and In at (0.000, 0.000, 0.500).

The calculation puts the formation energy at -0.082 eV per atom. The density of states at the Fermi level comes out at 34.271 states/eV/cell. The magnetization comes out at 5.802 μB/f.u. The calculation puts the mass density at 8.891 g/cm3.

# 6
A geometry-optimized Rb2Al2In structure. Source: Alexandria via LeMat-Bulk, functional PBE.

It has space group I4/mmm (No. 139), with a = 3.841 Å, b = 3.841 Å, c = 24.997 Å, α = 90.00°, β = 90.00° and γ = 90.00°. Symmetry generates all atoms from Rb at (0.000, 0.000, 0.115), Al at (0.000, 0.500, 0.250) and In at (0.000, 0.000, 0.500).

The calculation puts the energy above the most stable polymorph in this dataset at 0 meV per atom. The calculation puts the formation energy at 0.266 eV per atom. The density of states at the Fermi level comes out at 9.633 states/eV/cell. The magnetization comes out at 0.000 μB/f.u. The calculation puts the mass density at 3.060 g/cm3.

# 7
A geometry-optimized RbAlIn structure. Source: Alexandria via LeMat-Bulk, functional PBE.

It has space group P-1 (No. 2), with a = 4.405 Å, b = 7.023 Å, c = 7.385 Å, α = 97.46°, β = 107.33° and γ = 90.10°. Symmetry generates all atoms from Rb at (0.116, 0.372, 0.230), Al at (0.219, 0.906, 0.438) and In at (0.414, 0.124, 0.828).

The calculation puts the energy above the most stable polymorph in this dataset at 0 meV per atom. The calculation puts the formation energy at 0.045 eV per atom. The density of states at the Fermi level comes out at 2.149 states/eV/cell. The magnetization comes out at 0.000 μB/f.u. The calculation puts the mass density at 3.493 g/cm3.

# 8
A geometry-optimized RbAlIn3 structure. Source: Alexandria via LeMat-Bulk, functional PBE.

It has space group Pm-3m (No. 221), with a = 5.552 Å, b = 5.552 Å, c = 5.552 Å, α = 90.00°, β = 90.00° and γ = 90.00°. Symmetry generates all atoms from Rb at (0.000, 0.000, 0.000), Al at (0.500, 0.500, 0.500) and In at (0.000, 0.500, 0.500).

The calculation puts the energy above the most stable polymorph in this dataset at 0 meV per atom. The calculation puts the formation energy at 0.157 eV per atom. The density of states at the Fermi level comes out at 3.394 states/eV/cell. The magnetization comes out at 0.000 μB/f.u. The calculation puts the mass density at 4.434 g/cm3.